Entry 1:
VASP calculation (PBE-GGA) on an optimized crystal structure of AcZrI2.

space group: No. 166
D(E_F): 3.91 states/eV per cell
total magnetic moment: 1.11 μB/f.u.
formation energy from raw total energies: -1.27 eV/f.u.

Unit cell a=3.8584 b=3.8584 c=11.1584 alpha=80.04 beta=80.04 gamma=60.00
Fractional coordinates of all 4 atoms:
Ac 0.5000 0.5000 0.5000
I 0.0885 0.0885 0.7344
I 0.9115 0.9115 0.2656
Zr 0.0000 0.0000 0.0000

---

Entry 2:
VASP calculation (PBE-GGA) on an optimized crystal structure of Ac2In7.

space group: No. 166
D(E_F): 10.62 states/eV per cell
total magnetic moment: 0.00 μB/f.u.
calculated formation energy: -0.245 eV/atom

Unit cell a=6.3048 b=6.3048 c=15.8924 alpha=78.56 beta=78.56 gamma=60.00
Fractional coordinates of all 18 atoms:
In 0.6100 0.6100 0.1699
In 0.5000 0.5000 0.0000
In 0.8937 0.3855 0.3354
In 0.3855 0.3855 0.3354
In 0.3855 0.8937 0.3354
In 0.5000 0.5000 0.5000
In 0.1063 0.6145 0.6646
In 0.6145 0.6145 0.6646
In 0.0000 0.5000 0.0000
In 0.7226 0.7226 0.8323
Ac 0.1484 0.1484 0.5547
Ac 0.0499 0.0499 0.8503
Ac 0.9501 0.9501 0.1497
In 0.5000 0.0000 0.0000
In 0.3900 0.3900 0.8301
In 0.6145 0.1063 0.6646
In 0.2774 0.2774 0.1677
Ac 0.8516 0.8516 0.4453

---

Entry 3:
VASP calculation (PBE-GGA) on an optimized crystal structure of Ac5In3.

space group: No. 140
D(E_F): 15.75 states/eV per cell
total magnetic moment: 0.00 μB/f.u.
offset from the most stable computed form: 0.000 eV per formula unit
calculated formation energy: -0.334 eV/atom

Unit cell a=8.6697 b=8.6697 c=10.1848 alpha=115.19 beta=115.19 gamma=90.00
Fractional coordinates of all 16 atoms:
In 0.8788 0.3788 0.0000
In 0.2500 0.2500 0.5000
Ac 0.0000 0.0000 0.0000
Ac 0.6789 0.5213 0.7002
Ac 0.3211 0.4787 0.2998
In 0.3788 0.1212 0.0000
In 0.7500 0.7500 0.5000
In 0.6212 0.8788 0.0000
Ac 0.0213 0.1789 0.7002
Ac 0.4787 0.9787 0.2998
Ac 0.5000 0.5000 0.0000
Ac 0.8211 0.3211 0.2998
In 0.1212 0.6212 0.0000
Ac 0.9787 0.8211 0.2998
Ac 0.5213 0.0213 0.7002
Ac 0.1789 0.6789 0.7002

---

Entry 4:
VASP calculation (PBE-GGA) on an optimized crystal structure of Ac2In.

space group: No. 139
D(E_F): 4.79 states/eV per cell
total magnetic moment: 0.00 μB/f.u.
offset from the most stable computed form: 0.040 eV per formula unit
calculated formation energy: -0.250 eV/atom

Unit cell a=4.1290 b=4.1290 c=7.3513 alpha=106.31 beta=106.31 gamma=90.00
Fractional coordinates of all 3 atoms:
Ac 0.6476 0.6476 0.2951
In 0.0000 0.0000 0.0000
Ac 0.3524 0.3524 0.7049